[1]
Here is crystalline Rb2HfTlCl6 at its relaxed geometry from Alexandria. Energies are from PBE.

Cell lengths 12.3322, 12.3322, 12.3322 Å; angles 40.53, 40.53, 40.53 degrees
Closest atoms and distances in Å follow each position.
Positions (direct):
Rb: 0.1305 0.1305 0.1305  6 Cl 3.51-3.56
Rb: 0.2681 0.2681 0.2681  3 Cl 3.44
Rb: 0.7319 0.7319 0.7319  3 Cl 3.44
Rb: 0.8695 0.8695 0.8695  6 Cl 3.51-3.56
Hf: 0.0000 0.0000 0.0000  6 Cl 2.45
Hf: 0.5000 0.5000 0.5000  6 Cl 2.63
Tl: 0.4040 0.4040 0.4040  6 Cl 3.11-3.15, 1 Hf 3.25
Tl: 0.5960 0.5960 0.5960  6 Cl 3.11-3.15, 1 Hf 3.25
Cl: 0.1473 0.6250 0.6250  1 Hf 2.63
Cl: 0.1762 0.1762 0.7769  1 Hf 2.45
Cl: 0.1762 0.7769 0.1762  1 Hf 2.45
Cl: 0.2231 0.8238 0.8238  1 Hf 2.45
Cl: 0.3750 0.3750 0.8527  1 Hf 2.63
Cl: 0.3750 0.8527 0.3750  1 Hf 2.63
Cl: 0.6250 0.1473 0.6250  1 Hf 2.63
Cl: 0.6250 0.6250 0.1473  1 Hf 2.63
Cl: 0.7769 0.1762 0.1762  1 Hf 2.45
Cl: 0.8238 0.2231 0.8238  1 Hf 2.45
Cl: 0.8238 0.8238 0.2231  1 Hf 2.45
Cl: 0.8527 0.3750 0.3750  1 Hf 2.63

Computed properties:
- distance to the lowest polymorph of the same formula (meV/atom) = 4.1



[2]
Here is crystalline Rb2HfZrCl6 at its relaxed geometry from Alexandria. Energies are from PBE.

Cell lengths 7.2755, 7.2755, 7.2755 Å; angles 60.00, 60.00, 60.00 degrees
Closest atoms and distances in Å follow each position.
Positions (direct):
Rb: 0.2500 0.2500 0.2500  12 Cl 3.64
Rb: 0.7500 0.7500 0.7500  12 Cl 3.64
Hf: 0.0000 0.0000 0.0000  6 Cl 2.52
Zr: 0.5000 0.5000 0.5000  6 Cl 2.62
Cl: 0.2451 0.2451 0.7549  1 Hf 2.52, 1 Zr 2.62
Cl: 0.2451 0.7549 0.2451  1 Hf 2.52, 1 Zr 2.62
Cl: 0.2451 0.7549 0.7549  1 Hf 2.52, 1 Zr 2.62
Cl: 0.7549 0.2451 0.2451  1 Hf 2.52, 1 Zr 2.62
Cl: 0.7549 0.2451 0.7549  1 Hf 2.52, 1 Zr 2.62
Cl: 0.7549 0.7549 0.2451  1 Hf 2.52, 1 Zr 2.62

Computed properties:
- total DFT energy (no corrections) (eV/f.u.) = -45.90



[3]
Here is crystalline HfRe2Cl at its relaxed geometry from Alexandria. Energies are from PBE.

Cell lengths 4.5735, 4.5735, 4.5735 Å; angles 60.00, 60.00, 60.00 degrees
Closest atoms and distances in Å follow each position.
Positions (direct):
Hf: 0.0000 0.0000 0.0000  8 Re 2.80
Re: 0.2500 0.2500 0.2500  4 Cl 2.80, 4 Hf 2.80
Re: 0.7500 0.7500 0.7500  4 Cl 2.80, 4 Hf 2.80
Cl: 0.5000 0.5000 0.5000  8 Re 2.80

Computed properties:
- distance to the lowest polymorph of the same formula (meV/atom) = 183.3



[4]
Here is crystalline HfRe3Cl at its relaxed geometry from Alexandria. Energies are from PBE.

Cell lengths 4.9469, 4.9469, 4.9469 Å; angles 90.00, 90.00, 90.00 degrees
Closest atoms and distances in Å follow each position.
Positions (direct):
Hf: 0.0000 0.0000 0.0000  6 Re 2.47
Re: 0.0000 0.0000 0.5000  2 Hf 2.47
Re: 0.0000 0.5000 0.0000  2 Hf 2.47
Re: 0.5000 0.0000 0.0000  2 Hf 2.47
Cl: 0.5000 0.5000 0.5000  12 Re 3.50

Computed properties:
- distance to the lowest polymorph of the same formula (meV/atom) = 1655.8



| no. | spin magnetization (μB per formula unit) |
| --- | --- |
| 1 | 0.0 |
| 2 | 1.1 |
| 3 | 0.0 |
| 4 | 5.5 |